[1]
VASP calculation (SCAN) on GaTeN2F at its PBEsol-relaxed geometry.

Calculated values
Uncorrected formation energy, meV per atom: 231
N(E_F), states/eV/f.u.: 1.74

a = 3.9981 Å, b = 3.9981 Å, c = 3.7210 Å
α = 90.00°, β = 90.00°, γ = 90.00°
Space group P4/mmm (No. 123)
One atom of each set of equivalent atoms:
Ga (0.0000, 0.0000, 0.0000) [1 per cell]
Te (0.5000, 0.5000, 0.5000) [1 per cell]
N (0.0000, 0.5000, 0.0000) [2 per cell]
F (0.0000, 0.0000, 0.5000) [1 per cell]

---

[2]
VASP calculation (SCAN) on Sr2Hg at its PBEsol-relaxed geometry.

Calculated values
Formation enthalpy at 0 K, eV/atom: -0.397
N(E_F), states/eV/f.u.: 3.01

a = 5.7457 Å, b = 5.7457 Å, c = 7.3736 Å
α = 90.00°, β = 90.00°, γ = 120.00°
Space group P6_3/mmc (No. 194)
One atom of each set of equivalent atoms:
Sr (0.0000, 0.0000, 0.0000) [2 per cell]
Sr (0.3333, 0.6667, 0.2500) [2 per cell]
Hg (0.3333, 0.6667, 0.7500) [2 per cell]

---

[3]
VASP calculation (SCAN) on BaLa2Mo at its PBEsol-relaxed geometry.

Calculated values
Formation enthalpy at 0 K, eV/atom: 0.681
N(E_F), states/eV/f.u.: 2.68
Offset from the most stable computed form, meV/atom: 82

a = 7.6344 Å, b = 7.6344 Å, c = 7.6344 Å
α = 90.00°, β = 90.00°, γ = 90.00°
Space group Fm-3m (No. 225)
One atom of each set of equivalent atoms:
Ba (0.0000, 0.0000, 0.0000) [4 per cell]
La (0.2500, 0.2500, 0.2500) [8 per cell]
Mo (0.0000, 0.0000, 0.5000) [4 per cell]

---

no.,total magnetization (μB/cell),total energy (eV per atom)
1,0.00,-14.91
2,0.00,-37.97
3,0.00,-39.48